Entry 1:
# BiPdS PBE-GGA optimized geometry
data_BiPdS
_chemical_formula_sum 'Bi1 Pd1 S1'
_cell_length_a 4.5687
_cell_length_b 4.5687
_cell_length_c 4.5687
_cell_angle_alpha 60.00
_cell_angle_beta 60.00
_cell_angle_gamma 60.00
_symmetry_space_group_name_H-M 'P 1'
_symmetry_Int_Tables_number 1
loop_
_symmetry_equiv_pos_as_xyz
'x,y,z'
loop_
_atom_site_label
_atom_site_fract_x
_atom_site_fract_y
_atom_site_fract_z
Bi1 0.0000 0.0000 0.0000
Pd1 0.7500 0.7500 0.7500
S1 0.5000 0.5000 0.5000
# - Space group: F-43m, No. 216
# - Uncorrected formation energy: -157 meV/atom

***

Entry 2:
# LiCa PBE-GGA optimized geometry
data_LiCa
_chemical_formula_sum 'Li2 Ca2'
_cell_length_a 10.9047
_cell_length_b 10.9047
_cell_length_c 10.9047
_cell_angle_alpha 19.86
_cell_angle_beta 19.86
_cell_angle_gamma 19.86
_symmetry_space_group_name_H-M 'P 1'
_symmetry_Int_Tables_number 1
loop_
_symmetry_equiv_pos_as_xyz
'x,y,z'
loop_
_atom_site_label
_atom_site_fract_x
_atom_site_fract_y
_atom_site_fract_z
Li1 0.1346 0.1346 0.1346
Li2 0.8654 0.8654 0.8654
Ca1 0.3842 0.3842 0.3842
Ca2 0.6158 0.6158 0.6158
# - E_form: 90 meV/atom
# - Polymorph energy (0 for the lowest one): 0.16 eV/f.u.
# - Space group: R-3m, No. 166

***

Computed values of mass density (unit: g cm⁻³) for the preceding records, in sequence: 8.6 1.2.
Computed values of calculated volume (unit: Å³ per cell) for the preceding records, in sequence: 67 131.
Computed values of N(E_F) (unit: states/eV per atom) for the preceding records, in sequence: 0.232 0.854.